Compound: DyCuB
Source: Alexandria via LeMat-Bulk
Functional: PBE-GGA
Structure: relaxed

Cell and atoms, written as POSCAR:
```
DyCuB
1.0
3.177 0.000 0.000
0.000 3.597 0.000
0.000 1.798 8.002
B Dy Cu
2 2 2
Direct
0.250 0.481 0.038
0.750 0.519 0.962
0.750 0.898 0.203
0.250 0.102 0.797
0.250 0.282 0.436
0.750 0.718 0.564
```

Summary:
SG: No. 63
DOS at the Fermi energy: 1.420 states/eV/f.u.
Energy of formation from the pure elements: -319 meV/atom
M_tot: 0.00 μB per atom

***

Compound: TiCr2Co2
Source: Alexandria via LeMat-Bulk
Functional: PBE-GGA
Structure: relaxed

Cell and atoms, written as POSCAR:
```
TiCr2Co2
1.0
6.921 0.000 0.000
0.000 6.921 0.000
0.000 0.000 2.536
Ti Co Cr
2 4 4
Direct
0.500 0.500 0.000
0.000 0.000 0.000
0.373 0.873 0.000
0.127 0.373 0.000
0.873 0.627 0.000
0.627 0.127 0.000
0.331 0.169 0.500
0.169 0.669 0.500
0.669 0.831 0.500
0.831 0.331 0.500
```

Summary:
SG: No. 127
DOS at the Fermi energy: 5.462 states/eV/f.u.
Energy of formation from the pure elements: 68 meV/atom
M_tot: 0.00 μB per atom

***

Compound: Rb2CdGeS4
Source: Alexandria via LeMat-Bulk
Functional: PBE-GGA
Structure: relaxed

Cell and atoms, written as POSCAR:
```
Rb2CdGeS4
1.0
-3.545 -3.409 4.689
4.826 -3.686 -3.049
3.721 5.104 2.506
Ge Rb S Cd
1 2 4 1
Direct
0.000 0.500 0.500
0.500 0.750 0.250
0.000 0.000 0.000
0.637 0.417 0.487
0.070 0.221 0.583
0.930 0.513 0.151
0.363 0.849 0.779
0.500 0.250 0.750
```

Summary:
E: -30.71 eV/f.u.
SG: No. 82
DOS at the Fermi energy: 0.000 states/eV/f.u.
M_tot: 0.00 μB per atom

***

Compound: InReBr2
Source: Alexandria via LeMat-Bulk
Functional: PBE-GGA
Structure: relaxed

Cell and atoms, written as POSCAR:
```
InReBr2
1.0
-4.167 -2.638 4.548
-0.207 -6.368 2.101
4.135 5.153 -1.162
In Br Re
1 2 1
Direct
0.500 0.500 0.000
0.000 0.000 0.000
0.250 0.750 0.500
0.750 0.250 0.500
```

Summary:
E: -14.37 eV/f.u.
SG: No. 119
DOS at the Fermi energy: 2.486 states/eV/f.u.
M_tot: 1.10 μB per atom